## A
Computed, not measured: crystalline In2HgPt2 at its relaxed geometry at the GGA-PBE level of DFT.

Values from the calculation:
Space-group type: I4/mmm

a = 3.9223 Å, b = 3.9223 Å, c = 7.7705 Å
α = 75.38°, β = 75.38°, γ = 90.00°
Last column: nearest neighbours and their distance in Å.
Fractional positions:
1 Hg 0.0000 0.0000 0.0000  8 In 3.24
2 In 0.3846 0.3846 0.2309  4 Pt 2.77
3 In 0.6154 0.6154 0.7691  4 Pt 2.77
4 Pt 0.7500 0.2500 0.5000  4 In 2.77, 4 Pt 2.77
5 Pt 0.2500 0.7500 0.5000  4 In 2.77, 4 Pt 2.77

## B
Computed, not measured: crystalline In2HgPt2 at its relaxed geometry at the GGA-PBE level of DFT.

Values from the calculation:
Space-group type: P4/mbm

a = 8.2910 Å, b = 8.2910 Å, c = 2.9249 Å
α = 90.00°, β = 90.00°, γ = 90.00°
Last column: nearest neighbours and their distance in Å.
Fractional positions:
1 In 0.8395 0.6605 0.0000  6 Pt 2.81-2.86, 2 In 2.92, 2 Hg 3.11
2 In 0.6605 0.1605 0.0000  6 Pt 2.81-2.86, 2 In 2.92, 2 Hg 3.11
3 In 0.1605 0.3395 0.0000  6 Pt 2.81-2.86, 2 In 2.92, 2 Hg 3.11
4 In 0.3395 0.8395 0.0000  6 Pt 2.81-2.86, 2 In 2.92, 2 Hg 3.11
5 Hg 0.5000 0.5000 0.0000  2 Hg 2.92, 4 In 3.11
6 Hg 0.0000 0.0000 0.0000  2 Hg 2.92, 4 In 3.11
7 Pt 0.1344 0.6344 0.5000  6 In 2.81-2.86, 3 Pt 2.92-3.15
8 Pt 0.3656 0.1344 0.5000  6 In 2.81-2.86, 3 Pt 2.92-3.15
9 Pt 0.8656 0.3656 0.5000  6 In 2.81-2.86, 3 Pt 2.92-3.15
10 Pt 0.6344 0.8656 0.5000  6 In 2.81-2.86, 3 Pt 2.92-3.15

What should be chosen as the most stable of them? Choose B.

## A
Computed, not measured: crystalline SrMgZr at its relaxed geometry at the GGA-PBE level of DFT.

Values from the calculation:
Space-group type: F-43m

a = 5.3198 Å, b = 5.3198 Å, c = 5.3198 Å
α = 60.00°, β = 60.00°, γ = 60.00°
Last column: nearest neighbours and their distance in Å.
Fractional positions:
1 Sr 0.0000 0.0000 0.0000  4 Mg 3.26
2 Zr 0.5000 0.5000 0.5000  4 Mg 3.26
3 Mg 0.7500 0.7500 0.7500  4 Zr 3.26, 4 Sr 3.26

## B
Computed, not measured: crystalline SrMgZr at its relaxed geometry at the GGA-PBE level of DFT.

Values from the calculation:
Space-group type: Cm

a = 8.8411 Å, b = 3.4396 Å, c = 12.5927 Å
α = 90.00°, β = 108.74°, γ = 90.00°
Last column: nearest neighbours and their distance in Å.
Fractional positions:
1 Sr 0.7198 0.0000 0.2236  3 Sr 3.44-3.85, 3 Zr 3.54-3.84, 5 Mg 3.61-3.75
2 Sr 0.4661 0.0000 0.9115  3 Sr 3.44-3.85, 3 Mg 3.48-3.83, 5 Zr 3.54-3.72
3 Sr 0.7198 0.5000 0.7236  3 Sr 3.44-3.85, 3 Zr 3.54-3.84, 5 Mg 3.61-3.75
4 Sr 0.4661 0.5000 0.4115  3 Sr 3.44-3.85, 3 Mg 3.48-3.83, 5 Zr 3.54-3.72
5 Zr 0.3105 0.0000 0.6153  2 Zr 2.97, 2 Mg 3.16
6 Zr 0.1151 0.5000 0.7128  2 Zr 2.97, 4 Mg 3.13-3.25
7 Zr 0.3105 0.5000 0.1153  2 Zr 2.97, 2 Mg 3.16
8 Zr 0.1151 0.0000 0.2128  2 Zr 2.97, 4 Mg 3.13-3.25
9 Mg 0.0766 0.5000 0.4211  4 Mg 3.08-3.44, 4 Zr 3.16-3.25
10 Mg 0.0766 0.0000 0.9211  4 Mg 3.08-3.44, 4 Zr 3.16-3.25
11 Mg 0.8730 0.0000 0.5266  4 Mg 3.08-3.44, 2 Zr 3.13
12 Mg 0.8730 0.5000 0.0266  4 Mg 3.08-3.44, 2 Zr 3.13

What should be chosen as the most stable of them? Choose B.

## A
Computed, not measured: crystalline Tc2TeOs at its relaxed geometry at the GGA-PBE level of DFT.

Values from the calculation:
Space-group type: P4/mmm

a = 4.6054 Å, b = 4.6054 Å, c = 3.0273 Å
α = 90.00°, β = 90.00°, γ = 89.98°
Last column: nearest neighbours and their distance in Å.
Fractional positions:
1 Tc 0.0000 0.0000 0.0000  4 Te 2.76, 4 Os 2.76, 2 Tc 3.03
2 Tc 0.5000 0.5000 0.0000  4 Os 2.76, 4 Te 2.76, 2 Tc 3.03
3 Te 0.5000 0.0000 0.5000  8 Tc 2.76, 2 Te 3.03
4 Os 0.0000 0.5000 0.5000  8 Tc 2.76, 2 Os 3.03

## B
Computed, not measured: crystalline Tc2TeOs at its relaxed geometry at the GGA-PBE level of DFT.

Values from the calculation:
Space-group type: Immm

a = 5.3164 Å, b = 5.3164 Å, c = 5.3164 Å
α = 146.02°, β = 129.42°, γ = 62.34°
Last column: nearest neighbours and their distance in Å.
Fractional positions:
1 Os 0.2500 0.7500 0.5000  4 Te 2.75, 4 Tc 2.91
2 Te 0.7500 0.2500 0.5000  4 Tc 2.60, 4 Os 2.75
3 Tc 0.9791 0.9791 0.0000  2 Te 2.60, 4 Tc 2.78
4 Tc 0.5209 0.5209 0.0000  2 Te 2.60, 4 Tc 2.78

What should be chosen as the most stable of them? Choose A.

## A
Computed, not measured: crystalline ZrIr2Ru at its relaxed geometry at the GGA-PBE level of DFT.

Values from the calculation:
Space-group type: P4/mmm

a = 3.3971 Å, b = 3.3971 Å, c = 5.6816 Å
α = 90.00°, β = 90.00°, γ = 90.00°
Last column: nearest neighbours and their distance in Å.
Fractional positions:
1 Zr 0.5000 0.5000 0.7500  2 Ru 2.84, 8 Ir 2.84
2 Ir 0.0000 0.0000 0.4824  1 Ir 2.64, 4 Ru 2.74, 4 Zr 2.84
3 Ir 0.0000 0.0000 0.0176  1 Ir 2.64, 4 Ru 2.74, 4 Zr 2.84
4 Ru 0.5000 0.5000 0.2500  8 Ir 2.74, 2 Zr 2.84

## B
Computed, not measured: crystalline ZrIr2Ru at its relaxed geometry at the GGA-PBE level of DFT.

Values from the calculation:
Space-group type: P2/m

a = 2.8884 Å, b = 4.7297 Å, c = 5.6933 Å
α = 54.18°, β = 90.00°, γ = 90.00°
Last column: nearest neighbours and their distance in Å.
Fractional positions:
1 Ru 0.5000 0.5000 0.5000  4 Zr 2.77, 6 Ir 2.81-2.85, 2 Ru 2.89
2 Ir 0.5000 0.5000 0.0000  6 Ir 2.77-2.89, 4 Zr 2.81, 2 Ru 2.85
3 Ir 0.0000 0.0000 0.0000  6 Ir 2.77-2.89, 4 Ru 2.81, 2 Zr 2.85
4 Zr 0.0000 0.0000 0.5000  4 Ru 2.77, 6 Ir 2.81-2.85, 2 Zr 2.89

What should be chosen as the most stable of them? Choose B.

## A
Computed, not measured: crystalline KAgMo at its relaxed geometry at the GGA-PBE level of DFT.

Values from the calculation:
Space-group type: F-43m

a = 5.3209 Å, b = 5.3209 Å, c = 5.3209 Å
α = 60.00°, β = 60.00°, γ = 60.00°
Last column: nearest neighbours and their distance in Å.
Fractional positions:
1 Mo 0.0000 0.0000 0.0000  4 K 3.26
2 K 0.7500 0.7500 0.7500  4 Ag 3.26, 4 Mo 3.26
3 Ag 0.5000 0.5000 0.5000  4 K 3.26

## B
Computed, not measured: crystalline KAgMo at its relaxed geometry at the GGA-PBE level of DFT.

Values from the calculation:
Space-group type: P3m1

a = 2.9103 Å, b = 2.9103 Å, c = 8.5903 Å
α = 90.00°, β = 90.00°, γ = 120.00°
Last column: nearest neighbours and their distance in Å.
Fractional positions:
1 Ag 0.0000 0.0000 0.9754  6 Ag 2.91, 3 Mo 2.94
2 K 0.6667 0.3333 0.3306  6 K 2.91
3 Mo 0.3333 0.6667 0.6940  6 Mo 2.91, 3 Ag 2.94

What should be chosen as the most stable of them? Choose B.

## A
Computed, not measured: crystalline CoSbOs2 at its relaxed geometry at the GGA-PBE level of DFT.

Values from the calculation:
Space-group type: P4mm

a = 2.8956 Å, b = 2.8956 Å, c = 7.2642 Å
α = 90.00°, β = 90.00°, γ = 90.00°
Last column: nearest neighbours and their distance in Å.
Fractional positions:
1 Os 0.0000 0.0000 0.9975  8 Os 2.64-2.90, 4 Co 2.69
2 Os 0.5000 0.5000 0.2267  8 Os 2.64-2.90, 4 Sb 2.95
3 Co 0.5000 0.5000 0.7576  4 Sb 2.69, 4 Os 2.69, 4 Co 2.90
4 Sb 0.0000 0.0000 0.5182  4 Co 2.69, 4 Sb 2.90, 4 Os 2.95

## B
Computed, not measured: crystalline CoSbOs2 at its relaxed geometry at the GGA-PBE level of DFT.

Values from the calculation:
Space-group type: Immm

a = 5.3851 Å, b = 5.3851 Å, c = 5.3851 Å
α = 147.60°, β = 131.52°, γ = 59.52°
Last column: nearest neighbours and their distance in Å.
Fractional positions:
1 Co 0.2500 0.7500 0.5000  4 Sb 2.67, 4 Os 2.97
2 Os 0.5245 0.5245 0.0000  2 Sb 2.59, 4 Os 2.71
3 Os 0.9755 0.9755 0.0000  2 Sb 2.59, 4 Os 2.71
4 Sb 0.7500 0.2500 0.5000  4 Os 2.59, 4 Co 2.67

What should be chosen as the most stable of them? Choose A.